Record 1
! Th4ZrSc6 | Alexandria | PBE | optimized geometry; values from VASP
! Formation enthalpy at 0 K, eV per atom: 0.27
&SYSTEM
  ibrav = 0, nat = 11, ntyp = 3
/
ATOMIC_SPECIES
Sc 44.96 Sc.upf
Th 232.04 Th.upf
Zr 91.22 Zr.upf
ATOMIC_POSITIONS crystal
Sc 0.000 0.500 0.500
Sc 0.000 0.500 0.999
Sc 0.500 0.661 0.830
Sc 0.000 0.001 0.500
Sc 0.500 0.170 0.339
Th 0.000 0.333 0.667
Th 0.500 0.337 0.169
Th 0.500 0.831 0.663
Sc 0.500 0.170 0.830
Zr 0.000 0.000 0.000
Th 0.500 0.831 0.169
CELL_PARAMETERS angstrom
3.282 0.000 0.000
0.000 10.545 0.000
0.000 -5.273 9.132


Record 2
! Eu2TcTe | Alexandria | PBE | optimized geometry; values from VASP
! DFT total energy, eV/atom: -8.66
&SYSTEM
  ibrav = 0, nat = 4, ntyp = 3
/
ATOMIC_SPECIES
Eu 151.96 Eu.upf
Te 127.60 Te.upf
Tc 98.00 Tc.upf
ATOMIC_POSITIONS crystal
Eu 0.000 0.500 0.000
Te 0.500 0.000 0.000
Tc 0.500 0.500 0.500
Eu 0.000 0.000 0.500
CELL_PARAMETERS angstrom
4.037 0.000 0.000
0.000 5.070 0.000
0.000 0.000 5.070


Record 3
! CrIn | Alexandria | PBE | optimized geometry; values from VASP
! Formation enthalpy at 0 K, eV per atom: 0.52
&SYSTEM
  ibrav = 0, nat = 2, ntyp = 2
/
ATOMIC_SPECIES
In 114.82 In.upf
Cr 52.00 Cr.upf
ATOMIC_POSITIONS crystal
In 0.333 0.667 0.500
Cr 0.000 0.000 0.000
CELL_PARAMETERS angstrom
-2.443 1.504 1.404
-0.292 -3.062 -0.861
1.530 -1.279 4.034


Record 4
! Tl7Hg2Pb | Alexandria | PBE | optimized geometry; values from VASP
! Formation enthalpy at 0 K, eV per atom: 0.02
! Energy above the lowest structure with this stoichiometry, meV per atom: 0
&SYSTEM
  ibrav = 0, nat = 10, ntyp = 3
/
ATOMIC_SPECIES
Tl 204.38 Tl.upf
Hg 200.59 Hg.upf
Pb 207.20 Pb.upf
ATOMIC_POSITIONS crystal
Tl 0.000 0.801 0.601
Tl 0.500 0.654 0.799
Tl 0.500 0.855 0.201
Tl 0.500 0.145 0.799
Hg 0.500 0.300 0.600
Tl 0.000 0.199 0.399
Pb 0.000 0.000 0.000
Tl 0.500 0.500 0.000
Hg 0.500 0.700 0.400
Tl 0.500 0.346 0.201
CELL_PARAMETERS angstrom
-1.743 2.852 -0.187
-5.513 -3.316 0.814
3.878 3.270 13.757


Q: What is the formula in the second record?
A: Eu2TcTe


Q: Number 1 is which compound?
A: Th4ZrSc6